The following is a GGA-PBE calculation of a relaxed structure of La7Tl2Os2, from Alexandria via LeMat-Bulk.

Structure (extended XYZ):
```
11
Lattice="7.137 -0.003 -0.841 0.003 7.359 0.003 -1.284 -0.002 7.070" Properties=species:S:1:pos:R:3 pbc="T T T"
La -0.641 1.813 3.536
La 0.000 0.000 0.000
La 3.571 5.544 -0.418
La 6.497 5.541 2.696
La 2.285 1.810 6.650
La 2.929 5.588 3.117
La 2.927 1.766 3.115
Tl 1.021 3.679 1.086
Tl 4.835 3.675 5.146
Os 4.688 7.357 1.466
Os 1.168 -0.003 4.766
```

Symmetry   Cmmm, No. 65
Total moment   0.0 μB/f.u.
Energy of formation from the pure elements   -202 meV per atom

The following is a GGA-PBE calculation of a relaxed structure of H6Pd8Pb, from Alexandria via LeMat-Bulk.

Structure (extended XYZ):
```
15
Lattice="-1.530 1.450 -5.118 -2.068 -5.126 -0.292 -4.435 2.188 2.487" Properties=species:S:1:pos:R:3 pbc="T T T"
H -2.680 -2.295 -1.242
H -3.718 0.086 0.399
H -2.748 0.514 -2.485
H -5.353 0.807 -1.681
H -4.314 -1.575 -3.322
H -5.285 -2.002 -0.438
Pd -5.406 -0.651 0.926
Pd -5.397 -1.000 -1.964
Pd -2.627 -0.837 -3.849
Pd -3.737 -2.898 0.249
Pd -3.641 -3.230 -2.610
Pd -2.635 -0.488 -0.959
Pd -4.392 1.742 -0.313
Pd -4.296 1.409 -3.172
Pb 0.000 0.000 0.000
```

Symmetry   R-3, No. 148
Total moment   0.0 μB/f.u.

The following is a GGA-PBE calculation of a relaxed structure of TeOsCl2, from Alexandria via LeMat-Bulk.

Structure (extended XYZ):
```
4
Lattice="-0.412 -2.392 -1.896 -2.468 -2.601 3.819 -4.052 1.801 -1.392" Properties=species:S:1:pos:R:3 pbc="T T T"
Os -2.232 -0.296 -1.644
Te -3.260 -0.400 1.214
Cl 0.000 0.000 0.000
Cl -1.440 -2.497 0.962
```

Symmetry   Pmmm, No. 47
Formation energy (no corrections)   86.62 kJ/mol of atoms
Total moment   0.0 μB/f.u.
Relative energy among the computed polymorphs   942 meV/atom

The following is a GGA-PBE calculation of a relaxed structure of Li2CaZn, from Alexandria via LeMat-Bulk.

Structure (extended XYZ):
```
4
Lattice="5.477 -0.006 0.000 1.916 5.131 0.000 -3.697 -2.563 3.126" Properties=species:S:1:pos:R:3 pbc="T T T"
Zn 0.958 2.566 1.563
Ca 2.739 -0.003 1.563
Li 0.000 0.000 0.000
Li 3.697 2.563 0.000
```

Symmetry   I4/mmm, No. 139
Total moment   0.0 μB/f.u.
Energy of formation from the pure elements   -58 meV per atom

The following is a GGA-PBE calculation of a relaxed structure of ZnSbTe2, from Alexandria via LeMat-Bulk.

Structure (extended XYZ):
```
4
Lattice="7.146 0.112 0.000 4.586 5.482 0.000 -5.866 -2.797 2.975" Properties=species:S:1:pos:R:3 pbc="T T T"
Sb 3.573 0.056 1.488
Te 2.293 2.741 1.488
Te 0.000 0.000 0.000
Zn 5.866 2.797 0.000
```

Symmetry   I-4m2, No. 119
Formation energy (no corrections)   22.40 kJ/mol of atoms
Total moment   0.0 μB/f.u.
Relative energy among the computed polymorphs   330 meV/atom

The following is a GGA-PBE calculation of a relaxed structure of Rh2AuCl, from Alexandria via LeMat-Bulk.

Structure (extended XYZ):
```
4
Lattice="2.910 0.000 0.000 0.000 2.910 0.000 0.000 0.000 8.167" Properties=species:S:1:pos:R:3 pbc="T T T"
Rh 1.455 1.455 1.780
Rh 0.000 0.000 0.125
Au 0.000 0.000 3.750
Cl 1.455 1.455 6.596
```

Symmetry   P4mm, No. 99
Formation energy (no corrections)   24.85 kJ/mol of atoms
Total moment   0.6 μB/f.u.
Relative energy among the computed polymorphs   63 meV/atom

The following is a GGA-PBE calculation of a relaxed structure of Pu2HgTe, from Alexandria via LeMat-Bulk.

Structure (extended XYZ):
```
4
Lattice="-1.414 -3.717 1.446 2.597 -2.562 2.143 -1.805 1.408 8.047" Properties=species:S:1:pos:R:3 pbc="T T T"
Pu -0.458 -3.667 8.700
Pu -0.164 -1.204 2.935
Te -0.311 -2.436 5.818
Hg 0.000 0.000 0.000
```

Symmetry   R-3m, No. 166
Formation energy (no corrections)   -37.32 kJ/mol of atoms
Total moment   12.3 μB/f.u.
Relative energy among the computed polymorphs   124 meV/atom

The following is a GGA-PBE calculation of a relaxed structure of MnBeRe2, from Alexandria via LeMat-Bulk.

Structure (extended XYZ):
```
4
Lattice="4.171 0.000 0.000 2.086 3.612 0.000 2.086 1.204 3.406" Properties=species:S:1:pos:R:3 pbc="T T T"
Re 6.257 3.612 2.554
Re 0.000 0.000 0.000
Be 4.171 2.408 1.703
Mn 2.086 1.204 0.851
```

Symmetry   F-43m, No. 216
Total moment   1.1 μB/f.u.
Energy of formation from the pure elements   82 meV per atom

The following is a GGA-PBE calculation of a relaxed structure of LiCa2Hg2, from Alexandria via LeMat-Bulk.

Structure (extended XYZ):
```
5
Lattice="5.214 0.000 0.000 0.000 5.214 0.000 2.607 2.607 6.093" Properties=species:S:1:pos:R:3 pbc="T T T"
Hg 5.214 5.214 4.708
Hg 2.607 2.607 1.385
Li 0.000 0.000 0.000
Ca 5.214 2.607 3.046
Ca 2.607 5.214 3.046
```

Symmetry   I4/mmm, No. 139
Total moment   0.0 μB/f.u.
Energy of formation from the pure elements   -173 meV per atom
Relative energy among the computed polymorphs   259 meV/atom

The following is a GGA-PBE calculation of a relaxed structure of VTcMoAs, from Alexandria via LeMat-Bulk.

Structure (extended XYZ):
```
4
Lattice="4.329 0.000 0.000 2.165 3.749 0.000 2.165 1.250 3.535" Properties=species:S:1:pos:R:3 pbc="T T T"
Tc 6.494 3.749 2.651
Mo 2.165 1.250 0.884
V 4.329 2.499 1.767
As 0.000 0.000 0.000
```

Symmetry   F-43m, No. 216
Total moment   0.0 μB/f.u.
Energy of formation from the pure elements   -98 meV per atom

The following is a GGA-PBE calculation of a relaxed structure of Pm12Ir5Ru2, from Alexandria via LeMat-Bulk.

Structure (extended XYZ):
```
19
Lattice="7.370 0.000 0.000 -3.685 8.234 0.217 0.000 -2.652 8.721" Properties=species:S:1:pos:R:3 pbc="T T T"
Pm 1.741 3.001 8.018
Pm -1.887 4.556 3.893
Pm 0.000 -1.963 7.029
Pm 5.572 1.026 5.045
Pm -1.741 3.001 8.018
Pm 5.426 2.581 0.920
Pm 3.685 7.545 1.909
Pm 1.798 1.026 5.045
Pm 0.000 6.242 6.709
Pm 3.685 -0.660 2.229
Pm 1.887 4.556 3.893
Pm 1.944 2.581 0.920
Ir 3.685 0.843 7.332
Ir 0.000 4.739 1.606
Ir 0.000 3.299 5.708
Ir 0.000 -1.326 4.360
Ir 3.685 2.283 3.230
Ru 2.151 0.000 0.000
Ru 5.219 0.000 0.000
```

Symmetry   C2/m, No. 12
Total moment   0.0 μB/f.u.
Energy of formation from the pure elements   -451 meV per atom

The following is a GGA-PBE calculation of a relaxed structure of LaMg14Si, from Alexandria via LeMat-Bulk.

Structure (extended XYZ):
```
16
Lattice="3.121 -5.788 0.000 3.121 5.788 0.000 0.000 0.000 10.413" Properties=species:S:1:pos:R:3 pbc="T T T"
Mg 3.121 3.673 2.926
Mg 3.121 -1.909 7.924
Mg 3.121 3.673 7.486
Mg 4.720 -0.945 0.000
Mg 4.622 -0.735 5.206
Mg 4.679 0.906 2.548
Mg 3.121 -3.848 0.000
Mg 3.121 -1.909 2.489
Mg 1.619 -0.735 5.206
Mg 3.121 2.001 0.000
Mg 1.522 -0.945 0.000
Mg 4.679 0.906 7.864
Mg 1.562 0.906 7.864
Mg 1.562 0.906 2.548
La 3.121 -3.667 5.206
Si 3.121 1.719 5.206
```

Symmetry   Amm2, No. 38
Formation energy (no corrections)   -1.20 kJ/mol of atoms
Total moment   0.0 μB/f.u.
Relative energy among the computed polymorphs   0 meV/atom

The following is a GGA-PBE calculation of a relaxed structure of Na2H8Pd3, from Alexandria via LeMat-Bulk.

Structure (extended XYZ):
```
13
Lattice="5.044 0.000 0.137 0.000 5.706 0.000 -1.885 -2.853 4.643" Properties=species:S:1:pos:R:3 pbc="T T T"
Pd 0.000 4.277 0.000
Pd 2.522 0.000 0.068
Pd 0.000 1.429 0.000
Na 2.663 2.853 1.973
Na 0.497 0.000 2.807
H 1.600 1.545 4.001
H -0.282 2.853 1.030
H 3.441 0.000 3.750
H 1.600 -1.545 4.001
H 1.559 4.398 0.779
H -0.984 2.853 3.765
H 1.559 1.308 0.779
H 4.143 0.000 1.015
```

Symmetry   C2/m, No. 12
Total moment   0.0 μB/f.u.

The following is a GGA-PBE calculation of a relaxed structure of ScZnSn2, from Alexandria via LeMat-Bulk.

Structure (extended XYZ):
```
4
Lattice="3.713 0.000 0.000 0.000 3.713 0.000 0.000 0.000 6.401" Properties=species:S:1:pos:R:3 pbc="T T T"
Sc 1.856 1.856 0.000
Sn 0.000 0.000 1.691
Sn 0.000 0.000 4.710
Zn 1.856 1.856 3.200
```

Symmetry   P4/mmm, No. 123
Total moment   0.0 μB/f.u.
Energy of formation from the pure elements   -238 meV per atom

The following is a GGA-PBE calculation of a relaxed structure of Tb3Pr6Dy2Tl, from Alexandria via LeMat-Bulk.

Structure (extended XYZ):
```
12
Lattice="-3.456 4.368 -2.880 0.227 -5.842 -2.267 -8.106 -2.422 8.364" Properties=species:S:1:pos:R:3 pbc="T T T"
Dy -2.226 0.958 -2.675
Dy -1.003 -2.433 -2.472
Tb -4.445 -5.339 1.812
Tb -5.668 -1.948 1.608
Tb -6.891 1.443 1.405
Pr -6.877 -2.180 5.015
Pr -9.138 -1.259 2.311
Pr -4.459 -1.716 -1.798
Pr -7.930 -4.608 2.512
Pr -2.197 -2.637 0.906
Pr -3.406 0.712 0.705
Tl 0.000 0.000 0.000
```

Symmetry   C2/m, No. 12
Total moment   0.0 μB/f.u.
Energy of formation from the pure elements   -9 meV per atom

The following is a GGA-PBE calculation of a relaxed structure of La2ZrCr, from Alexandria via LeMat-Bulk.

Structure (extended XYZ):
```
4
Lattice="-2.100 1.547 -2.462 -2.708 -0.069 2.351 2.304 7.713 2.881" Properties=species:S:1:pos:R:3 pbc="T T T"
Cr -0.676 6.524 2.105
Zr -1.828 2.667 0.665
La 1.204 4.031 1.506
La 2.252 7.539 2.816
```

Symmetry   Cmmm, No. 65
Total moment   3.7 μB/f.u.
Energy of formation from the pure elements   392 meV per atom
Relative energy among the computed polymorphs   106 meV/atom

The following is a GGA-PBE calculation of a relaxed structure of LiNb2Si, from Alexandria via LeMat-Bulk.

Structure (extended XYZ):
```
8
Lattice="7.070 0.000 0.000 0.000 7.070 0.000 3.535 3.535 2.664" Properties=species:S:1:pos:R:3 pbc="T T T"
Nb 5.384 1.768 0.666
Nb 8.838 8.919 1.998
Nb 1.686 5.303 0.666
Nb 5.303 5.221 1.998
Si 0.000 0.000 0.000
Si 7.070 3.535 1.332
Li 3.535 7.070 1.332
Li 3.535 3.535 0.000
```

Symmetry   I-42d, No. 122
Formation energy (no corrections)   21.86 kJ/mol of atoms
Total moment   0.0 μB/f.u.

The following is a GGA-PBE calculation of a relaxed structure of PuTa2Os, from Alexandria via LeMat-Bulk.

Structure (extended XYZ):
```
4
Lattice="2.905 0.000 0.000 1.453 2.516 0.000 1.453 0.839 10.321" Properties=species:S:1:pos:R:3 pbc="T T T"
Pu 0.000 0.000 0.000
Ta 1.453 0.839 7.372
Ta 4.358 2.516 2.949
Os 2.905 1.677 5.161
```

Symmetry   R-3m, No. 166
Total moment   4.8 μB/f.u.
Energy of formation from the pure elements   413 meV per atom
Relative energy among the computed polymorphs   401 meV/atom

The following is a GGA-PBE calculation of a relaxed structure of PmSm6Y2Er, from Alexandria via LeMat-Bulk.

Structure (extended XYZ):
```
20
Lattice="9.150 -1.911 -1.983 0.856 8.647 -1.972 0.856 -2.291 8.568" Properties=species:S:1:pos:R:3 pbc="T T T"
Sm 9.592 5.278 -1.547
Sm 1.271 -0.833 6.160
Sm 5.846 5.232 -1.596
Sm 6.662 1.376 3.886
Sm 8.677 -0.031 6.007
Sm 8.775 -0.342 2.103
Sm 4.200 3.069 0.727
Sm 2.087 4.787 2.510
Sm 2.185 4.477 -1.394
Sm 4.102 6.959 1.183
Sm 6.761 -2.514 3.430
Sm 5.016 -0.787 6.209
Y 0.880 2.043 1.054
Y 5.455 0.022 1.089
Y 9.982 2.402 3.559
Y 5.407 4.423 3.524
Er 3.144 1.723 3.744
Er 7.719 2.722 0.869
Pm 3.144 7.831 -2.142
Pm 7.719 -3.386 6.755
```

Symmetry   C2/c, No. 15
Total moment   0.0 μB/f.u.
Energy of formation from the pure elements   120 meV per atom

The following is a GGA-PBE calculation of a relaxed structure of LaTiAl, from Alexandria via LeMat-Bulk.

Structure (extended XYZ):
```
3
Lattice="-1.366 2.189 -4.191 -2.194 -4.168 1.428 -2.343 1.820 1.714" Properties=species:S:1:pos:R:3 pbc="T T T"
La -2.813 0.980 -1.461
Ti 0.000 0.000 0.000
Al -1.918 -2.049 -0.445
```

Symmetry   P-6m2, No. 187
Total moment   1.1 μB/f.u.
Energy of formation from the pure elements   52 meV per atom
Relative energy among the computed polymorphs   107 meV/atom

Short version: total DFT energy (no corrections) = -5.8094; -4.4733; -3.6184; -1.8334; -2.6878; -4.6992; -8.4136; -9.3660; -1.4769; -8.8390; -6.7601; -2.0547; -3.6221; -4.1411; -4.5204; -6.6141; -6.6425; -11.9040; -4.9355; -5.4697 eV/atom, in the order given.